First-principles (PBE) data for an optimized crystal structure of ErZnGa4Cu2, as listed in Alexandria via LeMat-Bulk.

Cell: 4.2848 4.2848 8.8743 Å, 76.03 76.03 60.00°
Atoms (fractional coordinates):
Cu  0.2446  0.2446  0.2663
Er  0.0000  0.0000  0.0000
Ga  0.6040  0.6040  0.1879
Ga  0.1244  0.1244  0.6268
Zn  0.5000  0.5000  0.5000
Cu  0.7554  0.7554  0.7337
Ga  0.3960  0.3960  0.8121
Ga  0.8756  0.8756  0.3732

Values from the calculation:
Energy = -3.45 eV/atom
Space group = R-3m
Formation enthalpy at 0 K = -186 meV per atom
Total magnetization = 0.0000 μB/atom
Crystal system = trigonal